The following is a GGA-PBEsol calculation of crystalline SiGeN2O at its relaxed geometry, from Alexandria.

```
SiGeN2O
1.0
3.6714 0.0000 0.0000
0.0000 3.6714 0.0000
0.0000 0.0000 3.4663
Si Ge N O
1 1 2 1
Direct
0.0000 0.0000 0.0000 Si
0.5000 0.5000 0.5000 Ge
0.0000 0.5000 0.0000 N
0.5000 0.0000 0.0000 N
0.0000 0.0000 0.5000 O
```

Crystal system ... tetragonal
SG ... No. 123

The following is a GGA-PBEsol calculation of crystalline SiGeNO2 at its relaxed geometry, from Alexandria.

```
SiGeNO2
1.0
3.6301 0.0000 0.0000
0.0000 3.6301 0.0000
0.0000 0.0000 3.9059
Si Ge N O
1 1 1 2
Direct
0.0000 0.0000 0.0000 Si
0.5000 0.5000 0.5000 Ge
0.5000 0.5000 0.0000 N
0.0000 0.5000 0.5000 O
0.5000 0.0000 0.5000 O
```

Crystal system ... tetragonal
SG ... No. 123

The following is a GGA-PBEsol calculation of crystalline SiGeN2O at its relaxed geometry, from Alexandria.

```
SiGeN2O
1.0
5.3720 0.0000 0.0000
0.0000 4.9842 0.0000
-2.4262 0.0000 4.8129
Si Ge N O
2 2 4 2
Direct
0.1673 0.0000 0.0220 Si
0.8327 0.5000 0.9780 Si
0.4765 0.5016 0.3233 Ge
0.5235 0.0016 0.6767 Ge
0.1509 0.3392 0.0800 N
0.4075 0.8582 0.3304 N
0.5925 0.3582 0.6696 N
0.8491 0.8392 0.9200 N
0.2630 0.9315 0.7809 O
0.7370 0.4315 0.2191 O
```

Crystal system ... monoclinic
SG ... No. 4

The following is a GGA-PBEsol calculation of crystalline SnGeNO2 at its relaxed geometry, from Alexandria.

```
SnGeNO2
1.0
3.6718 0.0000 0.0000
0.0000 3.6718 0.0000
0.0000 0.0000 4.0533
Sn Ge N O
1 1 1 2
Direct
0.0000 0.0000 0.0000 Sn
0.5000 0.5000 0.5000 Ge
0.5000 0.5000 0.0000 N
0.0000 0.5000 0.5000 O
0.5000 0.0000 0.5000 O
```

Crystal system ... tetragonal
SG ... No. 123

Number 1: raw formation energy -186 meV per atom. Number 2: raw formation energy -169 meV per atom. Number 3: raw formation energy -1198 meV per atom. Number 4: raw formation energy -568 meV per atom.